DFT (PBE with a Hubbard U) results for crystalline SrTl2VF6 at its relaxed geometry.

```
data_SrTl2VF6
_chemical_formula_sum 'Sr2 Tl4 V2 F12'
_space_group_name_H-M_alt 'P m m n'
_space_group_IT_number 59
_cell_length_a 6.2177
_cell_length_b 9.0082
_cell_length_c 6.6145
_cell_angle_alpha 90.00
_cell_angle_beta 90.00
_cell_angle_gamma 90.00
loop_
_space_group_symop_operation_xyz
'x,y,z'
'-x,-y,-z'
'-x+1/2,-y+1/2,z'
'x+1/2,y+1/2,-z'
'x+1/2,-y,-z'
'-x+1/2,y,z'
'-x,y+1/2,-z'
'x,-y+1/2,z'
loop_
_atom_site_label
_atom_site_fract_x
_atom_site_fract_y
_atom_site_fract_z
Sr1 0.2500 0.2500 0.2191
Tl1 0.2500 0.0272 0.7089
V1 0.2500 0.7500 0.2720
F1 0.0011 0.7500 0.4960
F2 0.0017 0.7500 0.0532
F3 0.2500 0.5136 0.2845
```

Values from the calculation:
The calculation puts the total magnetization at 6.00 μB/cell. The total DFT energy (no corrections) is -5.1810 eV/atom.